Pr2Ga3Pt | GGA-PBE | optimized geometry Values from VASP.

Values from the calculation:
Energy of formation from the pure elements   -0.82 eV/atom
Space group   Fmmm
Total DFT energy (no corrections)   -59.1 eV/cell

Structure (Quantum ESPRESSO input):
```
&SYSTEM
  ibrav = 0, nat = 12, ntyp = 3
/
ATOMIC_SPECIES
Pr 140.91 Pr.upf
Ga 69.72 Ga.upf
Pt 195.08 Pt.upf
ATOMIC_POSITIONS crystal
Pr 0.2367 0.7633 0.7633
Pr 0.2500 0.2500 0.2500
Pr 0.7500 0.7500 0.7500
Pr 0.7633 0.2367 0.2367
Ga 0.1679 0.6650 0.3350
Ga 0.3342 0.3342 0.6659
Ga 0.3350 0.8321 0.1679
Ga 0.6650 0.1679 0.8321
Ga 0.6659 0.6659 0.3342
Ga 0.8321 0.3350 0.6650
Pt 0.1678 0.1678 0.8322
Pt 0.8322 0.8322 0.1678
CELL_PARAMETERS angstrom
0.0000 4.4736 7.7549
3.9145 0.0000 7.7549
3.9145 4.4736 0.0000
```